# 1
{
  "formula": "Ag3Br4",
  "functional": "PBE",
  "state": "optimized geometry",
  "cell": [[-3.8946, 3.9751, 6.4625], [3.8946, -3.9751, 6.4625], [3.8946, 3.9751, -6.4625]],
  "species": ["Ag", "Ag", "Ag", "Ag", "Ag", "Ag", "Br", "Br", "Br", "Br", "Br", "Br", "Br", "Br"],
  "fractional_positions": [[0.0000, 0.0000, 0.0000], [0.0000, 0.0000, 0.5000], [0.0000, 0.5000, 0.0000], [0.3761, 0.6261, 0.7500], [0.5000, 0.0000, 0.5000], [0.6239, 0.3739, 0.2500], [0.2316, 0.2437, 0.9879], [0.2427, 0.2310, 0.4883], [0.2427, 0.7543, 0.0117], [0.2443, 0.7563, 0.4879], [0.7557, 0.2437, 0.5121], [0.7573, 0.2457, 0.9883], [0.7573, 0.7690, 0.5117], [0.7684, 0.7563, 0.0121]],
  "space_group": "Imma"
}

# 2
{
  "formula": "NbCoPt2",
  "functional": "PBE",
  "state": "optimized geometry",
  "cell": [[6.2255, 0.0000, 0.0000], [0.0000, 6.2255, 0.0000], [0.0000, 0.0000, 6.2255]],
  "species": ["Nb", "Nb", "Nb", "Nb", "Co", "Co", "Co", "Co", "Pt", "Pt", "Pt", "Pt", "Pt", "Pt", "Pt", "Pt"],
  "fractional_positions": [[0.0000, 0.0000, 0.0000], [0.0000, 0.5000, 0.5000], [0.5000, 0.0000, 0.5000], [0.5000, 0.5000, 0.0000], [0.2500, 0.2500, 0.2500], [0.2500, 0.7500, 0.7500], [0.7500, 0.2500, 0.7500], [0.7500, 0.7500, 0.2500], [0.0000, 0.0000, 0.5000], [0.0000, 0.5000, 0.0000], [0.2500, 0.2500, 0.7500], [0.2500, 0.7500, 0.2500], [0.5000, 0.0000, 0.0000], [0.5000, 0.5000, 0.5000], [0.7500, 0.2500, 0.2500], [0.7500, 0.7500, 0.7500]],
  "space_group": "F-43m",
  "total_magnetization_mub_per_fu": 0.27,
  "e_form_kj_per_mol_fu": -90
}

# 3
{
  "formula": "MgHgTeO",
  "functional": "PBE",
  "state": "optimized geometry",
  "cell": [[4.0477, 0.0000, 0.0000], [0.0000, 4.0477, 0.0000], [0.0000, 0.0000, 10.2943]],
  "species": ["Mg", "Mg", "Hg", "Hg", "Te", "Te", "O", "O"],
  "fractional_positions": [[0.2500, 0.2500, 0.0048], [0.7500, 0.7500, 0.9952], [0.2500, 0.2500, 0.6266], [0.7500, 0.7500, 0.3734], [0.2500, 0.2500, 0.3171], [0.7500, 0.7500, 0.6829], [0.2500, 0.7500, 0.0000], [0.7500, 0.2500, 0.0000]],
  "relative_energy_mev_per_atom": 0,
  "space_group": "P4/nmm"
}

# 4
{
  "formula": "Zr2Zn",
  "functional": "PBE",
  "state": "optimized geometry",
  "cell": [[5.6448, 0.0000, 0.0000], [-2.8224, 4.8885, 0.0000], [0.0000, 0.0000, 4.5195]],
  "species": ["Zr", "Zr", "Zr", "Zr", "Zn", "Zn"],
  "fractional_positions": [[0.0000, 0.0000, 0.0000], [0.0000, 0.3886, 0.5000], [0.3886, 0.0000, 0.5000], [0.6114, 0.6114, 0.5000], [0.3333, 0.6667, 0.0000], [0.6667, 0.3333, 0.0000]],
  "space_group": "P-62m",
  "total_magnetization_mub_per_fu": 0.01,
  "e_form_kj_per_mol_fu": -11
}

# 5
{
  "formula": "NaTePtAuS2",
  "functional": "PBE",
  "state": "optimized geometry",
  "cell": [[1.7692, -7.6596, 0.0000], [1.7692, 7.6596, 0.0000], [0.0000, 0.0000, 10.7244]],
  "species": ["Na", "Na", "Te", "Te", "Pt", "Pt", "Au", "Au", "S", "S", "S", "S"],
  "fractional_positions": [[0.2296, 0.7704, 0.7500], [0.7704, 0.2296, 0.2500], [0.4384, 0.5616, 0.2500], [0.5616, 0.4384, 0.7500], [0.5000, 0.5000, 0.0000], [0.5000, 0.5000, 0.5000], [0.1151, 0.8849, 0.2500], [0.8849, 0.1151, 0.7500], [0.1044, 0.8956, 0.0312], [0.1044, 0.8956, 0.4688], [0.8956, 0.1044, 0.5312], [0.8956, 0.1044, 0.9688]],
  "space_group": "Cmcm",
  "total_magnetization_mub_per_fu": 0.00
}

# 6
{
  "formula": "HoTmSi4Ir2",
  "functional": "PBE",
  "state": "optimized geometry",
  "cell": [[2.9569, 0.0000, 0.0000], [0.0000, 3.9557, 0.0000], [0.0000, 0.0000, 28.3622]],
  "species": ["Ho", "Ho", "Tm", "Tm", "Si", "Si", "Si", "Si", "Si", "Si", "Si", "Si", "Ir", "Ir", "Ir", "Ir"],
  "fractional_positions": [[0.0000, 0.0000, 0.0000], [0.0000, 0.5000, 0.5000], [0.0000, 0.0000, 0.3072], [0.0000, 0.5000, 0.8072], [0.0000, 0.0000, 0.1112], [0.0000, 0.0000, 0.1969], [0.0000, 0.0000, 0.4259], [0.0000, 0.0000, 0.8805], [0.0000, 0.5000, 0.3805], [0.0000, 0.5000, 0.6112], [0.0000, 0.5000, 0.6969], [0.0000, 0.5000, 0.9259], [0.0000, 0.0000, 0.5711], [0.0000, 0.0000, 0.7371], [0.0000, 0.5000, 0.0711], [0.0000, 0.5000, 0.2371]],
  "space_group": "Amm2",
  "total_magnetization_mub_per_fu": 0.01
}

# 7
{
  "formula": "Sr3Re2Au2",
  "functional": "PBE",
  "state": "optimized geometry",
  "cell": [[2.6038, 1.5033, 8.4368], [-2.6038, 1.5033, 8.4368], [0.0000, -3.0066, 8.4368]],
  "species": ["Sr", "Sr", "Sr", "Re", "Re", "Au", "Au"],
  "fractional_positions": [[0.0000, 0.0000, 0.0000], [0.2447, 0.2447, 0.2447], [0.4895, 0.4895, 0.4895], [0.1198, 0.1198, 0.1198], [0.6341, 0.6341, 0.6341], [0.3677, 0.3677, 0.3677], [0.8592, 0.8592, 0.8592]],
  "space_group": "R3m",
  "total_magnetization_mub_per_fu": 5.99
}

# 8
{
  "formula": "ScZnFeOs",
  "functional": "PBE",
  "state": "optimized geometry",
  "cell": [[6.2027, 0.0000, 0.0000], [0.0000, 6.2027, 0.0000], [0.0000, 0.0000, 6.2027]],
  "species": ["Sc", "Sc", "Sc", "Sc", "Zn", "Zn", "Zn", "Zn", "Fe", "Fe", "Fe", "Fe", "Os", "Os", "Os", "Os"],
  "fractional_positions": [[0.0000, 0.0000, 0.0000], [0.0000, 0.5000, 0.5000], [0.5000, 0.0000, 0.5000], [0.5000, 0.5000, 0.0000], [0.0000, 0.0000, 0.5000], [0.0000, 0.5000, 0.0000], [0.5000, 0.0000, 0.0000], [0.5000, 0.5000, 0.5000], [0.2500, 0.2500, 0.7500], [0.2500, 0.7500, 0.2500], [0.7500, 0.2500, 0.2500], [0.7500, 0.7500, 0.7500], [0.2500, 0.2500, 0.2500], [0.2500, 0.7500, 0.7500], [0.7500, 0.2500, 0.7500], [0.7500, 0.7500, 0.2500]],
  "relative_energy_mev_per_atom": 99,
  "space_group": "F-43m",
  "total_magnetization_mub_per_fu": 2.63,
  "e_form_kj_per_mol_fu": 35
}

# 9
{
  "formula": "DyYNi2P2",
  "functional": "PBE",
  "state": "optimized geometry",
  "cell": [[3.9005, 0.0000, 0.0000], [-1.9502, 3.3779, 0.0000], [0.0000, 0.0000, 15.4924]],
  "species": ["Dy", "Dy", "Y", "Y", "Ni", "Ni", "Ni", "Ni", "P", "P", "P", "P"],
  "fractional_positions": [[0.0000, 0.0000, 0.0000], [0.0000, 0.0000, 0.5000], [0.0000, 0.0000, 0.2500], [0.0000, 0.0000, 0.7500], [0.3333, 0.6667, 0.1279], [0.3333, 0.6667, 0.3721], [0.6667, 0.3333, 0.6279], [0.6667, 0.3333, 0.8721], [0.3333, 0.6667, 0.6229], [0.3333, 0.6667, 0.8771], [0.6667, 0.3333, 0.1229], [0.6667, 0.3333, 0.3771]],
  "space_group": "P6_3/mmc",
  "total_magnetization_mub_per_fu": 0.01
}

# 10
{
  "formula": "InReO4",
  "functional": "PBE",
  "state": "optimized geometry",
  "cell": [[-2.8007, 2.8007, 6.1938], [2.8007, -2.8007, 6.1938], [2.8007, 2.8007, -6.1938]],
  "species": ["In", "In", "Re", "Re", "O", "O", "O", "O", "O", "O", "O", "O"],
  "fractional_positions": [[0.3750, 0.1250, 0.2500], [0.6250, 0.8750, 0.7500], [0.1250, 0.3750, 0.7500], [0.8750, 0.6250, 0.2500], [0.0781, 0.2263, 0.3942], [0.1839, 0.5781, 0.3519], [0.2737, 0.1680, 0.8519], [0.3320, 0.6839, 0.1058], [0.6680, 0.3161, 0.8942], [0.7263, 0.8320, 0.1481], [0.8161, 0.4219, 0.6481], [0.9219, 0.7737, 0.6058]],
  "space_group": "I4_1/a",
  "total_magnetization_mub_per_fu": 0.00
}

# 11
{
  "formula": "ScSiNiPd",
  "functional": "PBE",
  "state": "optimized geometry",
  "cell": [[6.2050, 0.0000, 0.0000], [0.0000, 6.2050, 0.0000], [0.0000, 0.0000, 6.2050]],
  "species": ["Sc", "Sc", "Sc", "Sc", "Si", "Si", "Si", "Si", "Ni", "Ni", "Ni", "Ni", "Pd", "Pd", "Pd", "Pd"],
  "fractional_positions": [[0.0000, 0.0000, 0.0000], [0.0000, 0.5000, 0.5000], [0.5000, 0.0000, 0.5000], [0.5000, 0.5000, 0.0000], [0.2500, 0.2500, 0.2500], [0.2500, 0.7500, 0.7500], [0.7500, 0.2500, 0.7500], [0.7500, 0.7500, 0.2500], [0.0000, 0.0000, 0.5000], [0.0000, 0.5000, 0.0000], [0.5000, 0.0000, 0.0000], [0.5000, 0.5000, 0.5000], [0.2500, 0.2500, 0.7500], [0.2500, 0.7500, 0.2500], [0.7500, 0.2500, 0.2500], [0.7500, 0.7500, 0.7500]],
  "relative_energy_mev_per_atom": 216,
  "space_group": "F-43m",
  "total_magnetization_mub_per_fu": 0.00
}

# 12
{
  "formula": "ScCuBiPt",
  "functional": "PBE",
  "state": "optimized geometry",
  "cell": [[6.6987, 0.0000, 0.0000], [0.0000, 6.6987, 0.0000], [0.0000, 0.0000, 6.6987]],
  "species": ["Sc", "Sc", "Sc", "Sc", "Cu", "Cu", "Cu", "Cu", "Bi", "Bi", "Bi", "Bi", "Pt", "Pt", "Pt", "Pt"],
  "fractional_positions": [[0.0000, 0.0000, 0.0000], [0.0000, 0.5000, 0.5000], [0.5000, 0.0000, 0.5000], [0.5000, 0.5000, 0.0000], [0.0000, 0.0000, 0.5000], [0.0000, 0.5000, 0.0000], [0.5000, 0.0000, 0.0000], [0.5000, 0.5000, 0.5000], [0.2500, 0.2500, 0.2500], [0.2500, 0.7500, 0.7500], [0.7500, 0.2500, 0.7500], [0.7500, 0.7500, 0.2500], [0.2500, 0.2500, 0.7500], [0.2500, 0.7500, 0.2500], [0.7500, 0.2500, 0.2500], [0.7500, 0.7500, 0.7500]],
  "relative_energy_mev_per_atom": 81,
  "space_group": "F-43m",
  "total_magnetization_mub_per_fu": 0.00
}

# 13
{
  "formula": "PrNdMg4Pt2",
  "functional": "PBE",
  "state": "optimized geometry",
  "cell": [[8.2448, 0.0000, 0.0000], [0.0000, 4.2820, 0.0000], [0.0000, 0.0000, 10.4331]],
  "species": ["Pr", "Pr", "Nd", "Nd", "Mg", "Mg", "Mg", "Mg", "Mg", "Mg", "Mg", "Mg", "Pt", "Pt", "Pt", "Pt"],
  "fractional_positions": [[0.0000, 0.0000, 0.0000], [0.0000, 0.5000, 0.5000], [0.5000, 0.0000, 0.1224], [0.5000, 0.5000, 0.6224], [0.1959, 0.0000, 0.7139], [0.1959, 0.5000, 0.2139], [0.3052, 0.0000, 0.4076], [0.3052, 0.5000, 0.9076], [0.6948, 0.0000, 0.4076], [0.6948, 0.5000, 0.9076], [0.8041, 0.0000, 0.7139], [0.8041, 0.5000, 0.2139], [0.0000, 0.0000, 0.2887], [0.0000, 0.5000, 0.7887], [0.5000, 0.0000, 0.8326], [0.5000, 0.5000, 0.3326]],
  "space_group": "Amm2",
  "total_magnetization_mub_per_fu": 0.01
}

# 14
{
  "formula": "GdCoNi3B",
  "functional": "PBE",
  "state": "optimized geometry",
  "cell": [[5.0003, 0.0000, 0.0000], [-2.5002, 4.3304, 0.0000], [0.0000, 0.0000, 6.9994]],
  "species": ["Gd", "Gd", "Co", "Co", "Ni", "Ni", "Ni", "Ni", "Ni", "Ni", "B", "B"],
  "fractional_positions": [[0.0000, 0.0000, 0.0000], [0.0000, 0.0000, 0.5000], [0.3333, 0.6667, 0.0000], [0.6667, 0.3333, 0.0000], [0.0000, 0.5000, 0.2923], [0.0000, 0.5000, 0.7077], [0.5000, 0.0000, 0.2923], [0.5000, 0.0000, 0.7077], [0.5000, 0.5000, 0.2923], [0.5000, 0.5000, 0.7077], [0.3333, 0.6667, 0.5000], [0.6667, 0.3333, 0.5000]],
  "space_group": "P6/mmm",
  "total_magnetization_mub_per_fu": 1.27
}

# 15
{
  "formula": "DyZrS2Cl2",
  "functional": "PBE",
  "state": "optimized geometry",
  "cell": [[3.7672, 0.0000, 0.0000], [0.0000, 5.2632, 0.0000], [0.0000, 0.0000, 8.0627]],
  "species": ["Dy", "Zr", "S", "S", "Cl", "Cl"],
  "fractional_positions": [[0.0000, 0.0000, 0.0000], [0.5000, 0.5000, 0.2486], [0.0000, 0.5000, 0.0262], [0.5000, 0.0000, 0.2483], [0.0000, 0.5000, 0.4704], [0.5000, 0.0000, 0.7706]],
  "space_group": "Pmm2",
  "total_magnetization_mub_per_fu": 0.44
}

# 16
{
  "formula": "Pm3Ga2Ge2",
  "functional": "PBE",
  "state": "optimized geometry",
  "cell": [[4.0882, 0.0000, 0.0000], [0.0000, 4.3954, 0.0000], [0.0000, 0.0000, 18.5930]],
  "species": ["Pm", "Pm", "Pm", "Pm", "Pm", "Pm", "Ga", "Ga", "Ga", "Ga", "Ge", "Ge", "Ge", "Ge"],
  "fractional_positions": [[0.0000, 0.0000, 0.0000], [0.0000, 0.5000, 0.3158], [0.0000, 0.5000, 0.6842], [0.5000, 0.0000, 0.1842], [0.5000, 0.0000, 0.8158], [0.5000, 0.5000, 0.5000], [0.0000, 0.0000, 0.4341], [0.0000, 0.0000, 0.5659], [0.5000, 0.5000, 0.0659], [0.5000, 0.5000, 0.9341], [0.0000, 0.5000, 0.1482], [0.0000, 0.5000, 0.8518], [0.5000, 0.0000, 0.3518], [0.5000, 0.0000, 0.6482]],
  "space_group": "Immm",
  "total_magnetization_mub_per_fu": 0.02
}

# 17
{
  "formula": "KNaFeOs",
  "functional": "PBE",
  "state": "optimized geometry",
  "cell": [[7.0934, 0.0000, 0.0000], [0.0000, 7.0934, 0.0000], [0.0000, 0.0000, 7.0934]],
  "species": ["K", "K", "K", "K", "Na", "Na", "Na", "Na", "Fe", "Fe", "Fe", "Fe", "Os", "Os", "Os", "Os"],
  "fractional_positions": [[0.0000, 0.0000, 0.0000], [0.0000, 0.5000, 0.5000], [0.5000, 0.0000, 0.5000], [0.5000, 0.5000, 0.0000], [0.0000, 0.0000, 0.5000], [0.0000, 0.5000, 0.0000], [0.5000, 0.0000, 0.0000], [0.5000, 0.5000, 0.5000], [0.2500, 0.2500, 0.7500], [0.2500, 0.7500, 0.2500], [0.7500, 0.2500, 0.2500], [0.7500, 0.7500, 0.7500], [0.2500, 0.2500, 0.2500], [0.2500, 0.7500, 0.7500], [0.7500, 0.2500, 0.7500], [0.7500, 0.7500, 0.2500]],
  "relative_energy_mev_per_atom": 505,
  "space_group": "F-43m",
  "total_magnetization_mub_per_fu": 5.38
}

# 18
{
  "formula": "SrHfF6",
  "functional": "PBE",
  "state": "optimized geometry",
  "cell": [[3.6828, -5.3806, 0.0000], [3.6828, 5.3806, 0.0000], [0.0000, 0.0000, 5.1799]],
  "species": ["Sr", "Sr", "Hf", "Hf", "F", "F", "F", "F", "F", "F", "F", "F", "F", "F", "F", "F"],
  "fractional_positions": [[0.2500, 0.7500, 0.9460], [0.7500, 0.2500, 0.0540], [0.2500, 0.2500, 0.5000], [0.7500, 0.7500, 0.5000], [0.0579, 0.3187, 0.7626], [0.0739, 0.9261, 0.6605], [0.1813, 0.4421, 0.2374], [0.3187, 0.0579, 0.2374], [0.4261, 0.5739, 0.6605], [0.4421, 0.1813, 0.7626], [0.5579, 0.8187, 0.2374], [0.5739, 0.4261, 0.3395], [0.6813, 0.9421, 0.7626], [0.8187, 0.5579, 0.7626], [0.9261, 0.0739, 0.3395], [0.9421, 0.6813, 0.2374]],
  "space_group": "Cmme",
  "total_magnetization_mub_per_fu": 0.00
}

# 19
{
  "formula": "ErNbB",
  "functional": "PBE",
  "state": "optimized geometry",
  "cell": [[6.3195, 0.0000, 0.0000], [0.0000, 6.3195, 0.0000], [0.0000, 0.0000, 6.3195]],
  "species": ["Er", "Er", "Er", "Er", "Nb", "Nb", "Nb", "Nb", "B", "B", "B", "B"],
  "fractional_positions": [[0.0000, 0.0000, 0.0000], [0.0000, 0.5000, 0.5000], [0.5000, 0.0000, 0.5000], [0.5000, 0.5000, 0.0000], [0.2500, 0.2500, 0.2500], [0.2500, 0.7500, 0.7500], [0.7500, 0.2500, 0.7500], [0.7500, 0.7500, 0.2500], [0.2500, 0.2500, 0.7500], [0.2500, 0.7500, 0.2500], [0.7500, 0.2500, 0.2500], [0.7500, 0.7500, 0.7500]],
  "relative_energy_mev_per_atom": 1501,
  "space_group": "F-43m",
  "total_magnetization_mub_per_fu": 2.94
}

# 20
{
  "formula": "Pr3ErSi4",
  "functional": "PBE",
  "state": "optimized geometry",
  "cell": [[5.8990, 0.0000, 0.0000], [0.0000, 3.9297, 0.0000], [-0.0700, 0.0000, 8.2081]],
  "species": ["Pr", "Pr", "Pr", "Er", "Si", "Si", "Si", "Si"],
  "fractional_positions": [[0.0000, 0.0000, 0.0000], [0.2283, 0.5000, 0.3595], [0.5008, 0.5000, 0.8571], [0.7290, 0.0000, 0.4990], [0.2338, 0.0000, 0.6407], [0.4947, 0.0000, 0.1483], [0.7370, 0.5000, 0.2234], [0.9851, 0.5000, 0.7083]],
  "space_group": "Pm",
  "total_magnetization_mub_per_fu": 0.03
}

We obtain ρ values of 5.3 14.9 7.3 6.6 6.9 8.3 8.6 9.9 7.0 6.2 6.6 11.3 7.0 8.8 4.0 7.2 5.7 6.1 7.1 6.1 Mg/m³ for the records listed above, in that order.
We obtain electronic total energy values of -2.465 -7.560 -3.630 -6.156 -4.029 -5.940 -4.134 -6.692 -6.730 -7.237 -6.097 -5.394 -4.176 -6.239 -6.040 -5.003 -3.619 -6.727 -5.417 -5.822 eV per atom for the records listed above, in that order.